Entry 1:
Density functional theory data (PBE) for an optimized crystal structure of MgTcSe2.

The calculation puts the formation energy without anion corrections at -0.28 eV per atom. As for the crystal system: orthorhombic. The calculation puts the calculated density at 6.04 g/cm3.

a = 3.784 Å, b = 5.384 Å, c = 3.783 Å
α = 90.00°, β = 90.00°, γ = 90.00°
Space group Pmm2 (No. 25)
Symmetry-distinct sites (fractional):
Mg 0.000 0.000 0.000 [1 per cell]
Tc 0.500 0.500 0.499 [1 per cell]
Se 0.000 0.500 0.999 [1 per cell]
Se 0.500 0.000 0.500 [1 per cell]

---

Entry 2:
Density functional theory data (PBE) for an optimized crystal structure of Mg3TcSe.

The calculation puts the formation energy without anion corrections at 0.74 eV per atom. As for the crystal system: cubic. The calculation puts the calculated density at 3.20 g/cm3.

a = 5.063 Å, b = 5.063 Å, c = 5.063 Å
α = 90.00°, β = 90.00°, γ = 90.00°
Space group Pm-3m (No. 221)
Symmetry-distinct sites (fractional):
Mg 0.000 0.000 0.500 [3 per cell]
Tc 0.000 0.000 0.000 [1 per cell]
Se 0.500 0.500 0.500 [1 per cell]

---

Entry 3:
Density functional theory data (PBE) for an optimized crystal structure of MgTcSe.

The calculation puts the formation energy without anion corrections at 0.28 eV per atom. As for the crystal system: cubic. The calculation puts the calculated density at 6.06 g/cm3.

a = 6.043 Å, b = 6.043 Å, c = 6.043 Å
α = 90.00°, β = 90.00°, γ = 90.00°
Space group F-43m (No. 216)
Symmetry-distinct sites (fractional):
Mg 0.000 0.000 0.000 [4 per cell]
Tc 0.000 0.000 0.500 [4 per cell]
Se 0.250 0.250 0.750 [4 per cell]

---

Entry 4:
Density functional theory data (PBE) for an optimized crystal structure of MgTcSe2.

The calculation puts the formation energy without anion corrections at 0.05 eV per atom. As for the crystal system: tetragonal. The calculation puts the calculated density at 5.16 g/cm3.

a = 3.644 Å, b = 3.644 Å, c = 13.587 Å
α = 90.00°, β = 90.00°, γ = 90.00°
Space group I-4m2 (No. 119)
Symmetry-distinct sites (fractional):
Mg 0.000 0.000 0.000 [2 per cell]
Tc 0.000 0.500 0.250 [2 per cell]
Se 0.000 0.000 0.500 [2 per cell]
Se 0.000 0.500 0.750 [2 per cell]

---

Number 1: calculated total energy -5.02 eV per atom. Number 2: calculated total energy -2.98 eV per atom. Number 3: calculated total energy -4.87 eV per atom. Number 4: calculated total energy -4.68 eV per atom.